DFT (PBE-GGA) results for a relaxed structure of Cs2LiNpSe4.

a = 7.265 Å, b = 4.314 Å, c = 8.592 Å
α = 90.00°, β = 106.78°, γ = 90.00°
Space group P2/m (No. 10)
Symmetry-distinct sites (fractional):
1 Cs 0.000 0.000 0.000 [1 per cell]
2 Cs 0.500 0.500 0.000 [1 per cell]
3 Li 0.000 0.500 0.500 [1 per cell]
4 Np 0.500 0.000 0.500 [1 per cell]
5 Se 0.248 0.000 0.676 [2 per cell]
6 Se 0.285 0.500 0.320 [2 per cell]

Results
formation energy from raw total energies: -1.098 eV/atom
density: 5.32 g/cm3

DFT (PBE-GGA) results for a relaxed structure of CsLiNp2Se4.

a = 4.286 Å, b = 14.444 Å, c = 14.791 Å
α = 90.00°, β = 90.00°, γ = 90.00°
Space group Cmcm (No. 63)
Symmetry-distinct sites (fractional):
1 Cs 0.000 0.107 0.250 [4 per cell]
2 Li 0.000 0.172 0.750 [4 per cell]
3 Np 0.000 0.369 0.058 [8 per cell]
4 Se 0.000 0.000 0.000 [4 per cell]
5 Se 0.000 0.258 0.603 [8 per cell]
6 Se 0.000 0.415 0.250 [4 per cell]

Results
formation energy from raw total energies: -1.221 eV/atom
density: 6.74 g/cm3

DFT (PBE-GGA) results for a relaxed structure of Cs2LiNp2Se6.

a = 7.190 Å, b = 12.480 Å, c = 8.786 Å
α = 90.00°, β = 104.69°, γ = 90.00°
Space group C2/m (No. 12)
Symmetry-distinct sites (fractional):
1 Cs 0.000 0.161 0.000 [4 per cell]
2 Li 0.000 0.000 0.500 [2 per cell]
3 Np 0.000 0.334 0.500 [4 per cell]
4 Se 0.205 0.500 0.679 [4 per cell]
5 Se 0.229 0.175 0.677 [8 per cell]

Results
formation energy from raw total energies: -1.159 eV/atom
density: 5.32 g/cm3

DFT (PBE-GGA) results for a relaxed structure of Cs2Li2NpSe4.

a = 15.776 Å, b = 4.359 Å, c = 8.298 Å
α = 90.00°, β = 108.78°, γ = 90.00°
Space group C2/m (No. 12)
Symmetry-distinct sites (fractional):
1 Cs 0.139 0.000 0.065 [4 per cell]
2 Li 0.180 0.500 0.487 [4 per cell]
3 Np 0.000 0.000 0.500 [2 per cell]
4 Se 0.017 0.500 0.284 [4 per cell]
5 Se 0.189 0.000 0.651 [4 per cell]

Results
formation energy from raw total energies: -1.254 eV/atom
density: 5.12 g/cm3

DFT (PBE-GGA) results for a relaxed structure of CsLi3Np4Se12.

a = 10.380 Å, b = 10.380 Å, c = 10.380 Å
α = 90.00°, β = 90.00°, γ = 90.00°
Space group Im-3 (No. 204)
Symmetry-distinct sites (fractional):
1 Cs 0.000 0.000 0.000 [2 per cell]
2 Li 0.000 0.000 0.500 [6 per cell]
3 Np 0.250 0.250 0.250 [8 per cell]
4 Se 0.000 0.184 0.308 [24 per cell]

Results
formation energy from raw total energies: -0.929 eV/atom
density: 6.08 g/cm3

DFT (PBE-GGA) results for a relaxed structure of Cs3LiNp3Te8.

a = 15.665 Å, b = 9.004 Å, c = 10.399 Å
α = 90.00°, β = 120.27°, γ = 90.00°
Space group C2/m (No. 12)
Symmetry-distinct sites (fractional):
1 Cs 0.000 0.000 0.000 [2 per cell]
2 Cs 0.250 0.250 0.000 [4 per cell]
3 Li 0.000 0.000 0.500 [2 per cell]
4 Np 0.000 0.500 0.500 [2 per cell]
5 Np 0.250 0.250 0.500 [4 per cell]
6 Te 0.025 0.257 0.317 [8 per cell]
7 Te 0.231 0.500 0.691 [4 per cell]
8 Te 0.236 0.000 0.684 [4 per cell]

Results
formation energy from raw total energies: -0.790 eV/atom
density: 5.60 g/cm3